Below is a geometry-optimized HoSi2Tc2 structure, with properties calculated at the PBE-GGA level.

The structure in POSCAR format:
```
HoSi2Tc2
1.0
0.000 5.000 6.710
2.712 0.000 6.710
2.712 5.000 0.000
Ho Si Tc
2 4 4
Direct
0.125 0.125 0.125
0.875 0.875 0.875
0.184 0.566 0.184
0.434 0.816 0.434
0.566 0.184 0.566
0.816 0.434 0.816
0.262 0.262 0.488
0.488 0.488 0.262
0.512 0.512 0.738
0.738 0.738 0.512
```

Properties
As for the space-group type: Fddd (70). For the raw formation energy, the calculation gives -0.501 eV per atom. Its magnetic moment is 0.00 μB per cell. The calculation puts the density of states at the Fermi level at 3.53 states/eV/f.u. The volume is 18.2 Å³ per atom.